--- A ---
A plane-wave DFT calculation with GGA-PBE was carried out for a geometry-optimized NiPt2Cl structure.

The structure belongs to space group Cm (No. 8); the cell edges are 8.795, 2.862 and 6.269 Å and the angles 90.00°, 94.80° and 90.00°. Symmetry generates all atoms from Ni at (0.000, 0.000, 0.000), Pt at (0.234, 0.500, 0.180), Pt at (0.473, 0.000, 0.333) and Cl at (0.473, 0.000, 0.726).

As for the total magnetic moment: 0.00 Bohr magnetons per cell. The calculation puts the density of states at the Fermi level at 12.02 states/eV per cell.

=====

--- B ---
A plane-wave DFT calculation with GGA-PBE was carried out for a geometry-optimized NiPt2Cl structure.

The structure belongs to space group F-43m (No. 216); the cell edges are 6.292, 6.292 and 6.292 Å and the angles 90.00°, 90.00° and 90.00°. Symmetry generates all atoms from Ni at (0.000, 0.000, 0.000), Pt at (0.000, 0.000, 0.500), Pt at (0.250, 0.250, 0.750) and Cl at (0.250, 0.250, 0.250).

As for the total magnetic moment: 5.97 Bohr magnetons per cell. The calculation puts the density of states at the Fermi level at 24.24 states/eV per cell.

=====

--- C ---
A plane-wave DFT calculation with GGA-PBE was carried out for a geometry-optimized NiPt2Cl structure.

The structure belongs to space group P4mm (No. 99); the cell edges are 2.847, 2.847 and 8.043 Å and the angles 90.00°, 90.00° and 90.00°. Symmetry generates all atoms from Ni at (0.000, 0.000, 0.000), Pt at (0.000, 0.000, 0.456), Pt at (0.500, 0.500, 0.215) and Cl at (0.500, 0.500, 0.816).

As for the total magnetic moment: 1.96 Bohr magnetons per cell. The calculation puts the density of states at the Fermi level at 4.97 states/eV per cell.

=====

On energetic grounds, A is preferred over the next structure by 88 meV/atom.

=====

--- A ---
A plane-wave DFT calculation with GGA-PBE was carried out for a geometry-optimized NiPt2Cl structure.

The structure belongs to space group P4/mmm (No. 123); the cell edges are 4.660, 4.660 and 2.800 Å and the angles 90.00°, 90.00° and 90.00°. Symmetry generates all atoms from Ni at (0.000, 0.000, 0.000), Pt at (0.000, 0.500, 0.500) and Cl at (0.500, 0.500, 0.000).

As for the total magnetic moment: 1.20 Bohr magnetons per cell. The calculation puts the density of states at the Fermi level at 4.38 states/eV per cell.

=====

--- B ---
A plane-wave DFT calculation with GGA-PBE was carried out for a geometry-optimized NiPt2Cl structure.

The structure belongs to space group P2/m (No. 10); the cell edges are 2.946, 4.599 and 4.612 Å and the angles 90.00°, 90.48° and 90.00°. Symmetry generates all atoms from Ni at (0.000, 0.000, 0.000), Pt at (0.243, 0.500, 0.757) and Cl at (0.500, 0.000, 0.500).

As for the total magnetic moment: 1.44 Bohr magnetons per cell. The calculation puts the density of states at the Fermi level at 6.03 states/eV per cell.

=====

--- C ---
A plane-wave DFT calculation with GGA-PBE was carried out for a geometry-optimized NiPt2Cl structure.

The structure belongs to space group C2/m (No. 12); the cell edges are 5.398, 9.533 and 2.852 Å and the angles 90.00°, 121.58° and 90.00°. Symmetry generates all atoms from Ni at (0.000, 0.000, 0.000), Pt at (0.250, 0.250, 0.000) and Cl at (0.000, 0.500, 0.000).

As for the total magnetic moment: 2.43 Bohr magnetons per cell. The calculation puts the density of states at the Fermi level at 9.42 states/eV per cell.

=====

--- D ---
A plane-wave DFT calculation with GGA-PBE was carried out for a geometry-optimized NiPt2Cl structure.

The structure belongs to space group Cmmm (No. 65); the cell edges are 2.733, 4.668 and 10.642 Å and the angles 90.00°, 90.00° and 90.00°. Symmetry generates all atoms from Ni at (0.000, 0.000, 0.000), Pt at (0.000, 0.500, 0.203) and Cl at (0.000, 0.000, 0.500).

As for the total magnetic moment: 3.14 Bohr magnetons per cell. The calculation puts the density of states at the Fermi level at 6.49 states/eV per cell.

=====

On energetic grounds, D is preferred over the next structure by 110 meV/atom.

=====

--- A ---
A plane-wave DFT calculation with GGA-PBE was carried out for a geometry-optimized NiPt2Cl structure.

The structure belongs to space group P4/mmm (No. 123); the cell edges are 2.970, 2.970 and 7.108 Å and the angles 90.00°, 90.00° and 90.00°. Symmetry generates all atoms from Ni at (0.000, 0.000, 0.000), Pt at (0.500, 0.500, 0.210) and Cl at (0.000, 0.000, 0.500).

As for the total magnetic moment: 1.83 Bohr magnetons per cell. The calculation puts the density of states at the Fermi level at 3.92 states/eV per cell.

=====

--- B ---
A plane-wave DFT calculation with GGA-PBE was carried out for a geometry-optimized NiPt2Cl structure.

The structure belongs to space group C2/m (No. 12); the cell edges are 12.169, 2.782 and 4.083 Å and the angles 90.00°, 109.08° and 90.00°. Symmetry generates all atoms from Ni at (0.000, 0.000, 0.000), Pt at (0.205, 0.500, 0.206) and Cl at (0.000, 0.500, 0.500).

As for the total magnetic moment: 2.65 Bohr magnetons per cell. The calculation puts the density of states at the Fermi level at 13.63 states/eV per cell.

=====

On energetic grounds, A is preferred over the next structure by 25 meV/atom.

=====

--- A ---
A plane-wave DFT calculation with GGA-PBE was carried out for a geometry-optimized Ni2PtCl structure.

The structure belongs to space group F-43m (No. 216); the cell edges are 6.104, 6.104 and 6.104 Å and the angles 90.00°, 90.00° and 90.00°. Symmetry generates all atoms from Ni at (0.000, 0.000, 0.000), Ni at (0.250, 0.250, 0.250), Pt at (0.250, 0.250, 0.750) and Cl at (0.000, 0.000, 0.500).

As for the total magnetic moment: 9.14 Bohr magnetons per cell. The calculation puts the density of states at the Fermi level at 23.90 states/eV per cell.

=====

--- B ---
A plane-wave DFT calculation with GGA-PBE was carried out for a geometry-optimized Ni2PtCl structure.

The structure belongs to space group I-4m2 (No. 119); the cell edges are 3.826, 3.826 and 7.748 Å and the angles 90.00°, 90.00° and 90.00°. Symmetry generates all atoms from Ni at (0.000, 0.000, 0.000), Ni at (0.000, 0.500, 0.250), Pt at (0.000, 0.500, 0.750) and Cl at (0.000, 0.000, 0.500).

As for the total magnetic moment: 4.31 Bohr magnetons per cell. The calculation puts the density of states at the Fermi level at 13.31 states/eV per cell.

=====

On energetic grounds, B is preferred over the next structure by 20 meV/atom.

=====

--- A ---
A plane-wave DFT calculation with GGA-PBE was carried out for a geometry-optimized Ni2PtCl structure.

The structure belongs to space group Immm (No. 71); the cell edges are 2.774, 4.924 and 8.258 Å and the angles 90.00°, 90.00° and 90.00°. Symmetry generates all atoms from Ni at (0.000, 0.000, 0.234), Pt at (0.000, 0.500, 0.000) and Cl at (0.000, 0.500, 0.500).

As for the total magnetic moment: 2.08 Bohr magnetons per cell. The calculation puts the density of states at the Fermi level at 12.52 states/eV per cell.

=====

--- B ---
A plane-wave DFT calculation with GGA-PBE was carried out for a geometry-optimized Ni2PtCl structure.

The structure belongs to space group Pmmm (No. 47); the cell edges are 2.765, 4.309 and 4.788 Å and the angles 90.00°, 90.00° and 90.00°. Symmetry generates all atoms from Ni at (0.000, 0.000, 0.000), Ni at (0.500, 0.000, 0.500), Pt at (0.000, 0.500, 0.500) and Cl at (0.500, 0.500, 0.000).

As for the total magnetic moment: 1.26 Bohr magnetons per cell. The calculation puts the density of states at the Fermi level at 5.77 states/eV per cell.

=====

On energetic grounds, A is preferred over the next structure by 65 meV/atom.

=====

--- A ---
A plane-wave DFT calculation with GGA-PBE was carried out for a geometry-optimized NiPt3Cl structure.

The structure belongs to space group Pm-3m (No. 221); the cell edges are 4.497, 4.497 and 4.497 Å and the angles 90.00°, 90.00° and 90.00°. Symmetry generates all atoms from Ni at (0.000, 0.000, 0.000), Pt at (0.000, 0.500, 0.500) and Cl at (0.500, 0.500, 0.500).

As for the total magnetic moment: 0.75 Bohr magnetons per cell. The calculation puts the density of states at the Fermi level at 7.13 states/eV per cell.

=====

--- B ---
A plane-wave DFT calculation with GGA-PBE was carried out for a geometry-optimized NiPt3Cl structure.

The structure belongs to space group Pm-3m (No. 221); the cell edges are 4.629, 4.629 and 4.629 Å and the angles 90.00°, 90.00° and 90.00°. Symmetry generates all atoms from Ni at (0.000, 0.000, 0.000), Pt at (0.000, 0.000, 0.500) and Cl at (0.500, 0.500, 0.500).

As for the total magnetic moment: 1.85 Bohr magnetons per cell. The calculation puts the density of states at the Fermi level at 17.20 states/eV per cell.

=====

On energetic grounds, B is preferred over the next structure by 32 meV/atom.